A geometry-optimized Ta2PPt structure, computed with PBE. Values from VASP.

- energy relative to the elements (meV per atom) = -256
- total magnetic moment (μB/f.u.) = 0.00
- SG = No. 35

```
&SYSTEM
  ibrav = 0, nat = 8, ntyp = 3
/
ATOMIC_SPECIES
Ta 180.95 Ta.upf
P 30.97 P.upf
Pt 195.08 Pt.upf
ATOMIC_POSITIONS angstrom
Ta 0.000 0.000 0.000
Ta 0.000 2.304 2.272
Ta 1.760 0.000 2.272
Ta 1.760 2.304 0.000
P 0.000 0.000 4.070
P 1.760 2.304 4.070
Pt 0.000 2.304 6.144
Pt 1.760 0.000 6.144
CELL_PARAMETERS angstrom
3.520 0.000 0.000
0.000 4.608 0.000
0.000 0.000 8.192
```